Record 1
{"formula": "Sn5SbAs4", "functional": "GGA-PBE", "state": "optimized geometry", "m_tot_mub_per_fu": 0.000, "space_group": "P3m1 (156)", "energy_ev_per_atom": -4.261, "mass_density_g_cm3": 5.47, "vol_a3_per_fu": 307.9, "lattice_angstrom": [[4.9392, 0.0000, 0.0000], [-2.4696, 4.2775, 0.0000], [0.0000, 0.0000, 29.1424]], "species": ["Sn", "Sn", "Sn", "Sn", "Sn", "Sn", "Sn", "Sn", "Sn", "Sn", "Sb", "Sb", "As", "As", "As", "As", "As", "As", "As", "As"], "fractional_positions": [[0.0000, 0.0000, 0.0000], [0.0000, 0.0000, 0.1949], [0.0000, 0.0000, 0.3909], [0.0000, 0.0000, 0.5856], [0.0000, 0.0000, 0.7928], [0.3333, 0.6667, 0.0952], [0.3333, 0.6667, 0.2930], [0.3333, 0.6667, 0.4909], [0.3333, 0.6667, 0.6922], [0.3333, 0.6667, 0.8945], [0.0000, 0.0000, 0.6894], [0.0000, 0.0000, 0.8961], [0.0000, 0.0000, 0.0967], [0.0000, 0.0000, 0.2928], [0.0000, 0.0000, 0.4890], [0.3333, 0.6667, 0.1942], [0.3333, 0.6667, 0.3917], [0.3333, 0.6667, 0.5899], [0.3333, 0.6667, 0.7930], [0.3333, 0.6667, 0.9960]]}

Record 2
{"formula": "Cu2PtI", "functional": "GGA-PBE", "state": "optimized geometry", "m_tot_mub_per_fu": 0.000, "space_group": "Fm-3m (225)", "energy_ev_per_atom": -3.445, "mass_density_g_cm3": 10.92, "vol_a3_per_fu": 68.3, "lattice_angstrom": [[0.0000, 3.2438, 3.2438], [3.2438, 0.0000, 3.2438], [3.2438, 3.2438, 0.0000]], "species": ["Cu", "Cu", "Pt", "I"], "fractional_positions": [[0.2500, 0.2500, 0.2500], [0.7500, 0.7500, 0.7500], [0.0000, 0.0000, 0.0000], [0.5000, 0.5000, 0.5000]]}

Record 3
{"formula": "Ti5CdTc4", "functional": "GGA-PBE", "state": "optimized geometry", "m_tot_mub_per_fu": 0.000, "space_group": "P4/mmm (123)", "energy_ev_per_atom": -8.603, "mass_density_g_cm3": 7.79, "delta_e_f_ev_per_fu": -4.18, "vol_a3_per_fu": 158.5, "lattice_angstrom": [[3.1407, 0.0000, 0.0000], [0.0000, 3.1407, 0.0000], [0.0000, 0.0000, 16.0694]], "species": ["Ti", "Ti", "Ti", "Ti", "Ti", "Cd", "Tc", "Tc", "Tc", "Tc"], "fractional_positions": [[0.0000, 0.0000, 0.0000], [0.0000, 0.0000, 0.1901], [0.0000, 0.0000, 0.3755], [0.0000, 0.0000, 0.6245], [0.0000, 0.0000, 0.8099], [0.5000, 0.5000, 0.5000], [0.5000, 0.5000, 0.0965], [0.5000, 0.5000, 0.2912], [0.5000, 0.5000, 0.7088], [0.5000, 0.5000, 0.9035]]}

Record 4
{"formula": "CeGa4Cu2Pd", "functional": "GGA-PBE", "state": "optimized geometry", "m_tot_mub_per_fu": 0.489, "space_group": "R-3m (166)", "energy_ev_per_atom": -4.302, "mass_density_g_cm3": 7.87, "delta_e_f_ev_per_fu": -2.99, "vol_a3_per_fu": 137.7, "lattice_angstrom": [[2.1130, 1.2200, 8.9009], [-2.1130, 1.2200, 8.9009], [0.0000, -2.4399, 8.9009]], "species": ["Ce", "Ga", "Ga", "Ga", "Ga", "Cu", "Cu", "Pd"], "fractional_positions": [[0.0000, 0.0000, 0.0000], [0.1264, 0.1264, 0.1264], [0.4006, 0.4006, 0.4006], [0.5994, 0.5994, 0.5994], [0.8736, 0.8736, 0.8736], [0.2413, 0.2413, 0.2413], [0.7587, 0.7587, 0.7587], [0.5000, 0.5000, 0.5000]]}

Record 5
{"formula": "ReAuSe", "functional": "GGA-PBE", "state": "optimized geometry", "m_tot_mub_per_fu": 0.000, "space_group": "Fmm2 (42)", "energy_ev_per_atom": -5.824, "mass_density_g_cm3": 13.48, "vol_a3_per_fu": 56.9, "lattice_angstrom": [[0.0000, 2.4753, 7.7673], [1.4807, 0.0000, 7.7673], [1.4807, 2.4753, 0.0000]], "species": ["Re", "Au", "Se"], "fractional_positions": [[0.0000, 0.0000, 0.0000], [0.3421, 0.3421, 0.6579], [0.6273, 0.6273, 0.3727]]}

Record 6
{"formula": "TlSBrCl2", "functional": "GGA-PBE", "state": "optimized geometry", "m_tot_mub_per_fu": 2.274, "space_group": "P4/mmm (123)", "energy_ev_per_atom": -2.181, "mass_density_g_cm3": 4.25, "vol_a3_per_fu": 151.4, "lattice_angstrom": [[5.2342, 0.0000, 0.0000], [0.0000, 5.2342, 0.0000], [0.0000, 0.0000, 5.5275]], "species": ["Tl", "S", "Br", "Cl", "Cl"], "fractional_positions": [[0.0000, 0.0000, 0.0000], [0.0000, 0.0000, 0.5000], [0.5000, 0.5000, 0.5000], [0.0000, 0.5000, 0.0000], [0.5000, 0.0000, 0.0000]]}

Record 7
{"formula": "AlMo2Cl", "functional": "GGA-PBE", "state": "optimized geometry", "m_tot_mub_per_fu": 0.000, "space_group": "Fm-3m (225)", "energy_ev_per_atom": -6.093, "mass_density_g_cm3": 6.79, "vol_a3_per_fu": 62.2, "lattice_angstrom": [[0.0000, 3.1441, 3.1441], [3.1441, 0.0000, 3.1441], [3.1441, 3.1441, 0.0000]], "species": ["Al", "Mo", "Mo", "Cl"], "fractional_positions": [[0.0000, 0.0000, 0.0000], [0.2500, 0.2500, 0.2500], [0.7500, 0.7500, 0.7500], [0.5000, 0.5000, 0.5000]]}

Record 8
{"formula": "DyGa2Pb", "functional": "GGA-PBE", "state": "optimized geometry", "m_tot_mub_per_fu": 0.000, "space_group": "Fm-3m (225)", "energy_ev_per_atom": -3.781, "mass_density_g_cm3": 8.72, "delta_e_f_ev_per_fu": -0.76, "vol_a3_per_fu": 96.9, "lattice_angstrom": [[0.0000, 3.6456, 3.6456], [3.6456, 0.0000, 3.6456], [3.6456, 3.6456, 0.0000]], "species": ["Dy", "Ga", "Ga", "Pb"], "fractional_positions": [[0.0000, 0.0000, 0.0000], [0.2500, 0.2500, 0.2500], [0.7500, 0.7500, 0.7500], [0.5000, 0.5000, 0.5000]]}

Record 9
{"formula": "BaLi2Ir", "functional": "GGA-PBE", "state": "optimized geometry", "m_tot_mub_per_fu": 0.000, "space_group": "Pm (6)", "energy_ev_per_atom": -3.590, "mass_density_g_cm3": 5.27, "delta_e_f_ev_per_fu": 0.25, "vol_a3_per_fu": 108.2, "lattice_angstrom": [[4.1006, 0.0000, 0.0000], [0.0000, 4.1359, 0.0000], [-1.8333, 0.0000, 6.3789]], "species": ["Ba", "Li", "Li", "Ir"], "fractional_positions": [[0.0000, 0.0000, 0.0000], [0.2021, 0.5000, 0.4505], [0.6876, 0.0000, 0.4263], [0.5922, 0.5000, 0.2050]]}

Record 10
{"formula": "Pm12Ge5Au2", "functional": "GGA-PBE", "state": "optimized geometry", "m_tot_mub_per_fu": 0.003, "space_group": "C2/m (12)", "energy_ev_per_atom": -5.049, "mass_density_g_cm3": 7.12, "delta_e_f_ev_per_fu": -9.28, "vol_a3_per_fu": 582.3, "lattice_angstrom": [[8.4443, -3.7222, 0.0000], [8.4443, 3.7222, 0.0000], [-1.9282, 0.0000, 9.2638]], "species": ["Pm", "Pm", "Pm", "Pm", "Pm", "Pm", "Pm", "Pm", "Pm", "Pm", "Pm", "Pm", "Ge", "Ge", "Ge", "Ge", "Ge", "Au", "Au"], "fractional_positions": [[0.0112, 0.0112, 0.2924], [0.0703, 0.5803, 0.8942], [0.1067, 0.5956, 0.4332], [0.4044, 0.8933, 0.5668], [0.4197, 0.9297, 0.1058], [0.4755, 0.4755, 0.1826], [0.5245, 0.5245, 0.8174], [0.5803, 0.0703, 0.8942], [0.5956, 0.1067, 0.4332], [0.8933, 0.4044, 0.5668], [0.9297, 0.4197, 0.1058], [0.9888, 0.9888, 0.7076], [0.1747, 0.1747, 0.8271], [0.2017, 0.2017, 0.3609], [0.5000, 0.5000, 0.5000], [0.7983, 0.7983, 0.6391], [0.8253, 0.8253, 0.1729], [0.1889, 0.8111, 0.0000], [0.8111, 0.1889, 0.0000]]}

Record 11
{"formula": "Gd2CrIr", "functional": "GGA-PBE", "state": "optimized geometry", "m_tot_mub_per_fu": 17.367, "space_group": "P4/mmm (123)", "energy_ev_per_atom": -11.820, "mass_density_g_cm3": 10.80, "delta_e_f_ev_per_fu": -0.63, "vol_a3_per_fu": 85.9, "lattice_angstrom": [[4.8453, 0.0000, 0.0000], [0.0000, 4.8453, 0.0000], [0.0000, 0.0000, 3.6583]], "species": ["Gd", "Gd", "Cr", "Ir"], "fractional_positions": [[0.0000, 0.5000, 0.0000], [0.5000, 0.0000, 0.0000], [0.0000, 0.0000, 0.5000], [0.5000, 0.5000, 0.5000]]}

Record 12
{"formula": "Rb2PaPd2S6", "functional": "GGA-PBE", "state": "optimized geometry", "m_tot_mub_per_fu": 0.000, "space_group": "C2/m (12)", "energy_ev_per_atom": -5.011, "mass_density_g_cm3": 4.17, "vol_a3_per_fu": 321.1, "lattice_angstrom": [[6.3810, -3.6861, 0.0000], [6.3810, 3.6861, 0.0000], [-4.2930, 0.0000, 6.8260]], "species": ["Rb", "Rb", "Pa", "Pd", "Pd", "S", "S", "S", "S", "S", "S"], "fractional_positions": [[0.2312, 0.2312, 0.1924], [0.7688, 0.7688, 0.8076], [0.0000, 0.0000, 0.5000], [0.4191, 0.4191, 0.7595], [0.5809, 0.5809, 0.2404], [0.2339, 0.7635, 0.2554], [0.2365, 0.7661, 0.7446], [0.2400, 0.2400, 0.7512], [0.7600, 0.7600, 0.2488], [0.7635, 0.2339, 0.2554], [0.7661, 0.2365, 0.7446]]}